Material: LiAgSn2Br6
Method: DFT, PBE-GGA
State: relaxed

Cell and atoms, written as CIF:
```
data_LiAgSn2Br6
_chemical_formula_sum 'Li1 Ag1 Sn2 Br6'
_space_group_name_H-M_alt 'P 1'
_space_group_IT_number 1
_cell_length_a 7.436
_cell_length_b 7.435
_cell_length_c 7.885
_cell_angle_alpha 61.85
_cell_angle_beta 61.87
_cell_angle_gamma 59.97
loop_
_space_group_symop_operation_xyz
'x,y,z'
loop_
_atom_site_label
_atom_site_fract_x
_atom_site_fract_y
_atom_site_fract_z
Li1 0.321 0.320 0.039
Ag1 0.815 0.816 0.554
Sn1 0.511 0.511 0.468
Sn2 0.007 0.007 0.980
Br1 0.592 0.202 0.243
Br2 0.203 0.963 0.243
Br3 0.963 0.592 0.243
Br4 0.445 0.697 0.749
Br5 0.697 0.110 0.749
Br6 0.110 0.445 0.748
```

Total magnetic moment ... 0.000 μB/cell
Uncorrected energy ... -3.097 eV/atom
Volume ... 316.6 Å³/cell
Space-group type ... R3, No. 146